# KSi4Ag, optimized geometry, DFT PBE
data_KSi4Ag
_chemical_formula_sum 'K4 Si16 Ag4'
_symmetry_space_group_name_H-M 'F -4 3 m'
_symmetry_Int_Tables_number 216
_symmetry_space_group_name_Hall 'F -4 2 3'
_cell_length_a 7.6622
_cell_length_b 7.6622
_cell_length_c 7.6622
_cell_angle_alpha 90.00
_cell_angle_beta 90.00
_cell_angle_gamma 90.00
loop_
_atom_site_label
_atom_site_fract_x
_atom_site_fract_y
_atom_site_fract_z
K1 0.0000 0.0000 0.0000
Si1 0.1232 0.1232 0.6232
Ag1 0.2500 0.2500 0.2500
# * formation energy without anion corrections: 438.9 meV/atom
# * spin magnetization: 0.0 μB per formula unit